No. 1
A geometry-optimized Pm4Nd5 structure, computed with PBE.

a = 12.937 Å, b = 12.937 Å, c = 3.737 Å
α = 90.00°, β = 90.00°, γ = 90.00°
Space group I4/mmm (No. 139)
Inequivalent atoms, fractional coordinates:
Pm: 0.000 0.334 0.000 x8
Nd: 0.000 0.000 0.000 x2
Nd: 0.167 0.167 0.500 x8

Calculated values
The relative energy among the computed polymorphs is 9.0 kJ/mol of atoms. As for the density: 6.91 Mg/m³. As for the electronic total energy: -83.78 eV for the cell shown. Its calculated formation energy is 0.950 eV/f.u.

---

No. 2
A geometry-optimized DyY2Au structure, computed with PBE.

a = 3.630 Å, b = 3.630 Å, c = 8.477 Å
α = 90.00°, β = 90.00°, γ = 90.00°
Space group P4/mmm (No. 123)
Inequivalent atoms, fractional coordinates:
Dy: 0.000 0.000 0.000 x1
Y: 0.500 0.500 0.292 x2
Au: 0.000 0.000 0.500 x1

Calculated values
The relative energy among the computed polymorphs is 6.2 kJ/mol of atoms. As for the density: 7.99 Mg/m³. As for the electronic total energy: -22.37 eV for the cell shown. Its calculated formation energy is -1.562 eV/f.u.

---

No. 3
A geometry-optimized ScNi6Ir structure, computed with PBE.

a = 4.634 Å, b = 4.634 Å, c = 4.634 Å
α = 90.00°, β = 90.00°, γ = 90.00°
Space group Pm-3 (No. 200)
Inequivalent atoms, fractional coordinates:
Sc: 0.000 0.000 0.000 x1
Ni: 0.000 0.255 0.500 x6
Ir: 0.500 0.500 0.500 x1

Calculated values
The relative energy among the computed polymorphs is 8.0 kJ/mol of atoms. As for the density: 9.83 Mg/m³. As for the electronic total energy: -50.61 eV for the cell shown. Its calculated formation energy is -0.726 eV/f.u.

---

No. 4
A geometry-optimized PmPrGdEr structure, computed with PBE.

a = 8.136 Å, b = 8.136 Å, c = 8.136 Å
α = 90.00°, β = 90.00°, γ = 90.00°
Space group F-43m (No. 216)
Inequivalent atoms, fractional coordinates:
Pm: 0.000 0.000 0.000 x4
Pr: 0.000 0.000 0.500 x4
Gd: 0.250 0.250 0.250 x4
Er: 0.250 0.250 0.750 x4

Calculated values
The relative energy among the computed polymorphs is 0.0 kJ/mol of atoms. As for the density: 7.53 Mg/m³. As for the electronic total energy: -110.98 eV for the cell shown. Its calculated formation energy is 0.430 eV/f.u.

---

No. 5
A geometry-optimized SrLaRe2 structure, computed with PBE.

a = 5.815 Å, b = 10.519 Å, c = 2.799 Å
α = 90.00°, β = 90.00°, γ = 90.00°
Space group Cmmm (No. 65)
Inequivalent atoms, fractional coordinates:
Sr: 0.000 0.000 0.000 x2
La: 0.000 0.500 0.000 x2
Re: 0.250 0.250 0.500 x4

Calculated values
The relative energy among the computed polymorphs is 85.5 kJ/mol of atoms. As for the density: 11.62 Mg/m³. As for the electronic total energy: -54.13 eV for the cell shown. Its calculated formation energy is 4.443 eV/f.u.

---

No. 6
A geometry-optimized PaFe2Si3 structure, computed with PBE.

a = 9.149 Å, b = 7.279 Å, c = 5.165 Å
α = 90.00°, β = 90.00°, γ = 90.00°
Space group Cmcm (No. 63)
Inequivalent atoms, fractional coordinates:
Pa: 0.000 0.154 0.250 x4
Fe: 0.207 0.500 0.000 x8
Si: 0.000 0.450 0.750 x4
Si: 0.182 0.218 0.750 x8

Calculated values
The energy relative to the elements, uncorrected comes out at -502 meV per atom. As for the density: 8.25 Mg/m³. As for the electronic total energy: -182.82 eV for the cell shown.